Below is a geometry-optimized Tm2V2O7 structure, with properties calculated at the PBE with a Hubbard U level.

Output
The space-group type is Fd-3m (227). The density is 7.27 g/cm³. The calculation puts the total energy at -178.90 eV for the cell shown.

abc: 7.092 7.092 7.092
angles: 60.00 60.00 60.00
Each line ends with the local moment (μB).
Fractional coordinates of all 22 atoms:
O 0.042 0.458 0.042  -0.03
O 0.458 0.458 0.042  -0.03
O 0.792 0.792 0.208  -0.03
O 0.042 0.458 0.458  -0.03
O 0.792 0.208 0.208  -0.03
O 0.750 0.750 0.750  0.00
O 0.458 0.042 0.458  -0.03
O 0.208 0.208 0.792  -0.03
O 0.792 0.208 0.792  -0.03
O 0.500 0.500 0.500  0.00
O 0.042 0.042 0.458  -0.03
O 0.208 0.792 0.792  -0.03
O 0.458 0.042 0.042  -0.03
O 0.208 0.792 0.208  -0.03
V 0.125 0.125 0.125  1.04
V 0.125 0.625 0.125  1.04
V 0.625 0.125 0.125  1.04
V 0.125 0.125 0.625  1.04
Tm 0.625 0.125 0.625  0.01
Tm 0.625 0.625 0.625  0.01
Tm 0.125 0.625 0.625  0.01
Tm 0.625 0.625 0.125  0.01